Density functional theory data (PBE) for a relaxed structure of Ca2ScNbGe.

```
data_Ca2ScNbGe
_cell_length_a 5.698
_cell_length_b 5.698
_cell_length_c 4.986
_cell_angle_alpha 90.00
_cell_angle_beta 90.00
_cell_angle_gamma 90.00
_space_group_name_H-M_alt 'P 4/m m m'
_space_group_IT_number 123
_space_group_name_Hall '-P 4 2'
loop_
_atom_site_label
_atom_site_fract_x
_atom_site_fract_y
_atom_site_fract_z
_atom_site_occupancy
Ca1 0.000 0.500 0.000 1
Sc1 0.000 0.000 0.000 1
Nb1 0.500 0.500 0.500 1
Ge1 0.000 0.000 0.500 1
```

Calculated values
DFT total energy	-3.88	eV per atom
V	32.4	Å³/atom
DOS(E_F)	4.94	states/eV per cell
formation energy	1.1274	eV/atom